1.
HoMgRe: relaxed, PBE.

a = 10.2159 Å, b = 9.9612 Å, c = 4.1209 Å
α = 81.71°, β = 74.77°, γ = 23.53°
Closest atoms and distances in Å follow each position.
Fractional positions:
Ho 0.1015 0.1015 0.8985  2 Re 2.90
Ho 0.8985 0.8985 0.1015  2 Re 2.90
Mg 0.2500 0.2500 0.2500  2 Mg 2.43
Mg 0.7500 0.7500 0.7500  2 Mg 2.43
Re 0.3219 0.6781 0.3219  3 Re 2.37-2.61
Re 0.6781 0.3219 0.6781  3 Re 2.37-2.61

Symmetry = Fmmm, No. 69
ΔH_f (0 K) = 0.40 eV per atom

=====

2.
AcSm2PtN4: relaxed, PBE.

a = 6.3969 Å, b = 6.3969 Å, c = 11.9421 Å
α = 90.00°, β = 90.00°, γ = 147.63°
Closest atoms and distances in Å follow each position.
Fractional positions:
Ac 0.1077 0.8923 0.7500  6 N 2.68-2.75
Ac 0.8923 0.1077 0.2500  6 N 2.68-2.75
Sm 0.3708 0.6292 0.5468  4 N 2.37-2.59
Sm 0.3708 0.6292 0.9532  4 N 2.37-2.59
Sm 0.6292 0.3708 0.0468  4 N 2.37-2.59
Sm 0.6292 0.3708 0.4532  4 N 2.37-2.59
Pt 0.1543 0.8457 0.2500  4 N 2.09-2.16
Pt 0.8457 0.1543 0.7500  4 N 2.09-2.16
N 0.0000 0.0000 0.0000  4 Sm 2.45
N 0.0000 0.0000 0.5000  4 Sm 2.45
N 0.2730 0.7270 0.1247  1 Pt 2.09
N 0.2730 0.7270 0.3753  1 Pt 2.09
N 0.4446 0.5554 0.7500  2 Pt 2.16
N 0.5554 0.4446 0.2500  2 Pt 2.16
N 0.7270 0.2730 0.6247  1 Pt 2.09
N 0.7270 0.2730 0.8753  1 Pt 2.09

Formation energy (no corrections) = -0.772 eV per atom
Symmetry = Cmcm, No. 63

=====

3.
Tb3Dy2Ho6In: relaxed, PBE.

a = 6.0711 Å, b = 6.0711 Å, c = 11.6008 Å
α = 95.02°, β = 95.02°, γ = 120.03°
Closest atoms and distances in Å follow each position.
Fractional positions:
Tb 0.0000 0.0000 0.0000  6 Tb 3.50-3.51, 6 Ho 3.53-3.54
Tb 0.3331 0.6669 0.0000  6 Tb 3.50-3.51, 6 Ho 3.51-3.55
Tb 0.6669 0.3331 0.0000  6 Tb 3.50-3.51, 6 Ho 3.51-3.55
Dy 0.1661 0.8339 0.5000  6 Ho 3.48, 3 Dy 3.49-3.51, 3 In 3.50-3.51
Dy 0.8339 0.1661 0.5000  6 Ho 3.48, 3 Dy 3.49-3.51, 3 In 3.50-3.51
Ho 0.0899 0.4185 0.2536  1 In 3.45, 6 Ho 3.46-3.53, 2 Dy 3.48, 3 Tb 3.52-3.55
Ho 0.2531 0.2531 0.7477  6 Ho 3.46-3.53, 1 In 3.47, 2 Dy 3.48, 3 Tb 3.51-3.54
Ho 0.4185 0.0899 0.2536  1 In 3.45, 6 Ho 3.46-3.53, 2 Dy 3.48, 3 Tb 3.52-3.55
Ho 0.5815 0.9101 0.7464  1 In 3.45, 6 Ho 3.46-3.53, 2 Dy 3.48, 3 Tb 3.52-3.55
Ho 0.7469 0.7469 0.2523  6 Ho 3.46-3.53, 1 In 3.47, 2 Dy 3.48, 3 Tb 3.51-3.54
Ho 0.9101 0.5815 0.7464  1 In 3.45, 6 Ho 3.46-3.53, 2 Dy 3.48, 3 Tb 3.52-3.55
In 0.5000 0.5000 0.5000  6 Ho 3.45-3.47, 6 Dy 3.50-3.51

Symmetry = C2/m, No. 12
ΔH_f (0 K) = -0.04 eV per atom